Ti4PPt2: optimized geometry, PBE. Values from VASP.

The calculation puts the total energy at -7.4859 eV per atom. As for the crystal system: tetragonal.

Geometry as Quantum ESPRESSO input:
```
&SYSTEM
  ibrav = 0, nat = 7, ntyp = 3
/
ATOMIC_SPECIES
P 30.97 P.upf
Pt 195.08 Pt.upf
Ti 47.87 Ti.upf
ATOMIC_POSITIONS crystal
P 0.000 0.000 0.000
Pt 0.372 0.372 0.256
Pt 0.628 0.628 0.744
Ti 0.185 0.185 0.629
Ti 0.815 0.815 0.371
Ti 0.000 0.500 0.000
Ti 0.500 0.000 0.000
CELL_PARAMETERS angstrom
4.446 0.000 0.000
0.000 4.446 0.000
2.223 2.223 6.457
```